[1]
KAlSi | PBE | optimized geometry

Cell lengths 6.103, 6.103, 8.885 Å; angles 90.00, 90.00, 120.00 degrees
Element x y z (fractional)
K: 0.333 0.667 0.250
K: 0.667 0.333 0.750
Al: 0.000 0.000 0.250
Al: 0.000 0.000 0.750
Si: 0.000 0.000 0.000
Si: 0.000 0.000 0.500

The calculation puts the uncorrected energy at -16.67 eV/cell. The symmetry is P6_3/mmc (194). The value obtained for the volume is 47.767 Å³ per atom. The calculation puts the uncorrected formation energy at 1.929 eV/f.u. The value obtained for the density is 1.09 g/cm³.



[2]
KAl2Si | PBE | optimized geometry

Cell lengths 4.390, 4.390, 4.458 Å; angles 90.00, 90.00, 90.00 degrees
Element x y z (fractional)
K: 0.000 0.000 0.000
Al: 0.000 0.500 0.500
Al: 0.500 0.000 0.500
Si: 0.500 0.500 0.000

The calculation puts the uncorrected energy at -11.78 eV/cell. The symmetry is P4/mmm (123). The value obtained for the volume is 21.484 Å³ per atom. The calculation puts the uncorrected formation energy at 2.226 eV/f.u. The value obtained for the density is 2.34 g/cm³.



[3]
KAlSi | PBE | optimized geometry

Cell lengths 6.682, 6.682, 6.682 Å; angles 153.80, 145.85, 43.55 degrees
Element x y z (fractional)
K: 0.000 0.000 0.000
Al: 0.281 0.281 0.000
Si: 0.707 0.707 0.000

The calculation puts the uncorrected energy at -9.57 eV/cell. The symmetry is Imm2 (44). The value obtained for the volume is 24.582 Å³ per atom. The calculation puts the uncorrected formation energy at 0.693 eV/f.u. The value obtained for the density is 2.12 g/cm³.



[4]
KAl2Si2 | PBE | optimized geometry

Cell lengths 8.149, 8.149, 2.917 Å; angles 90.00, 90.00, 90.00 degrees
Element x y z (fractional)
K: 0.000 0.000 0.000
K: 0.500 0.500 0.000
Al: 0.126 0.374 0.000
Al: 0.374 0.874 0.000
Al: 0.626 0.126 0.000
Al: 0.874 0.626 0.000
Si: 0.152 0.652 0.500
Si: 0.348 0.152 0.500
Si: 0.652 0.848 0.500
Si: 0.848 0.348 0.500

The calculation puts the uncorrected energy at -36.66 eV/cell. The symmetry is P4/mbm (127). The value obtained for the volume is 19.371 Å³ per atom. The calculation puts the uncorrected formation energy at 1.098 eV/f.u. The value obtained for the density is 2.56 g/cm³.



[5]
KAl2Si | PBE | optimized geometry

Cell lengths 4.263, 7.340, 7.340 Å; angles 24.66, 90.00, 90.00 degrees
Element x y z (fractional)
K: 0.000 0.000 0.000
Al: 0.000 0.750 0.750
Al: 0.500 0.315 0.315
Si: 0.500 0.657 0.657

The calculation puts the uncorrected energy at -13.34 eV/cell. The symmetry is Amm2 (38). The value obtained for the volume is 23.957 Å³ per atom. The calculation puts the uncorrected formation energy at 0.662 eV/f.u. The value obtained for the density is 2.10 g/cm³.



[6]
KAl2Si | PBE | optimized geometry

Cell lengths 6.138, 6.138, 2.810 Å; angles 102.22, 102.22, 118.63 degrees
Element x y z (fractional)
K: 0.000 0.000 0.000
Al: 0.000 0.500 0.500
Al: 0.500 0.000 0.500
Si: 0.500 0.500 0.000

The calculation puts the uncorrected energy at -11.96 eV/cell. The symmetry is C2/m (12). The value obtained for the volume is 21.136 Å³ per atom. The calculation puts the uncorrected formation energy at 2.045 eV/f.u. The value obtained for the density is 2.38 g/cm³.